CaDy4Ho2 | PBE-GGA | optimized geometry

Lattice parameters (Å, degrees): 20.8130 20.8130 20.8130 9.81 9.81 9.81
Last column: nearest neighbours and their distance in Å.
Fractional positions:
1 Ca 0.0000 0.0000 0.0000  6 Ca 3.56, 6 Dy 3.82
2 Dy 0.1435 0.1435 0.1435  9 Dy 3.54-3.56, 3 Ho 3.54
3 Dy 0.2815 0.2815 0.2815  3 Ho 3.49, 6 Dy 3.56, 3 Ca 3.82
4 Dy 0.7185 0.7185 0.7185  3 Ho 3.49, 6 Dy 3.56, 3 Ca 3.82
5 Dy 0.8565 0.8565 0.8565  9 Dy 3.54-3.56, 3 Ho 3.54
6 Ho 0.4305 0.4305 0.4305  6 Dy 3.49-3.54, 6 Ho 3.56
7 Ho 0.5695 0.5695 0.5695  6 Dy 3.49-3.54, 6 Ho 3.56

Summary:
Energy of formation from the pure elements in kcal/mol of atoms: 1.1
Crystal system: trigonal
DOS(E_F) in states/eV/atom: 1.45
Magnetization in μB per formula unit: 0.0